# V2O3F

A geometry-optimized V2O3F structure (GGA+U, Alexandria via LeMat-Bulk).

abc: 5.5792 5.5792 8.8229
angles: 92.59 92.59 75.43
With the nearest neighbours (Å) after each atom.
Fractional positions:
V 0.0000 0.0000 0.0000  5 O 1.79-1.98
V 0.1661 0.0839 0.6252  4 O 1.97-2.02, 2 F 2.05-2.06
V 0.2496 0.2511 0.2506  5 O 1.80-1.98
V 0.4177 0.3323 0.8749  4 O 1.97-2.01, 2 F 2.07
V 0.5823 0.4177 0.5000  5 O 1.79-1.97
V 0.6677 0.5823 0.1251  4 O 1.97-2.01, 2 F 2.07
V 0.7489 0.7504 0.7494  5 O 1.80-1.98
V 0.9161 0.8339 0.3748  4 O 1.97-2.02, 2 F 2.05-2.06
O 0.0107 0.9311 0.7785  3 V 1.97-1.98
O 0.0689 0.9893 0.2215  3 V 1.97-1.98
O 0.2578 0.1865 0.0288  3 V 1.97-1.98
O 0.3198 0.2382 0.4715  3 V 1.97
O 0.4866 0.0152 0.7496  2 V 1.80-2.01
O 0.5081 0.4351 0.2792  3 V 1.97
O 0.5649 0.4919 0.7208  3 V 1.97
O 0.7372 0.2628 0.0000  1 V 1.79
O 0.7618 0.6802 0.5285  3 V 1.97
O 0.8135 0.7422 0.9712  3 V 1.97-1.98
O 0.8452 0.1548 0.5000  1 V 1.79
O 0.9848 0.5134 0.2504  2 V 1.80-2.01
F 0.0851 0.4128 0.7508  3 V 2.06-2.30
F 0.2438 0.7562 0.5000  2 V 2.05
F 0.3367 0.6633 0.0000  3 V 2.07-2.30
F 0.5873 0.9149 0.2492  3 V 2.06-2.30

Output
**Energy relative to the lowest polymorph listed for this composition**: 0.0034 eV per atom
**Total energy**: -44.977 eV/f.u.
**Space-group type**: C2, No. 5
**Magnetization**: 12.00 μB per cell